A relaxed structure of K2Pt2Au, computed with GGA-PBE.

Values from the calculation:
* energy above the lowest structure with this stoichiometry: 398 kJ/mol of formula units
* E: -2.75 eV/atom
* total magnetic moment: 0.00 μB per formula unit
* energy of formation: 760 meV/atom
* V: 117 Å³ per cell

Cell: 7.855 7.855 7.855 Å, 150.58 150.58 42.09°
Fractional positions:
1 K 0.250 0.750 0.500
2 K 0.750 0.250 0.500
3 Pt 0.087 0.087 0.000
4 Pt 0.913 0.913 0.000
5 Au 0.500 0.500 0.000

A relaxed structure of KPt2Au2, computed with GGA-PBE.

Values from the calculation:
* energy above the lowest structure with this stoichiometry: 0 kJ/mol of formula units
* E: -4.01 eV/atom
* total magnetic moment: 0.00 μB per formula unit
* energy of formation: -61 meV/atom
* V: 198 Å³ per cell

Cell: 8.348 8.348 2.834 Å, 90.00 90.00 90.00°
Fractional positions:
1 K 0.000 0.000 0.000
2 K 0.500 0.500 0.000
3 Pt 0.114 0.386 0.000
4 Pt 0.386 0.886 0.000
5 Pt 0.614 0.114 0.000
6 Pt 0.886 0.614 0.000
7 Au 0.183 0.683 0.500
8 Au 0.317 0.183 0.500
9 Au 0.683 0.817 0.500
10 Au 0.817 0.317 0.500

A relaxed structure of KPtAu2, computed with GGA-PBE.

Values from the calculation:
* energy above the lowest structure with this stoichiometry: 44 kJ/mol of formula units
* E: -3.38 eV/atom
* total magnetic moment: 0.00 μB per formula unit
* energy of formation: 46 meV/atom
* V: 87 Å³ per cell

Cell: 6.437 6.437 6.437 Å, 154.66 129.86 56.99°
Fractional positions:
1 K 0.000 0.000 0.000
2 Pt 0.500 0.500 0.000
3 Au 0.290 0.790 0.500
4 Au 0.710 0.210 0.500

A relaxed structure of K2Pt5Au5, computed with GGA-PBE.

Values from the calculation:
* E: -4.20 eV/atom
* total magnetic moment: 0.00 μB per formula unit
* energy of formation: -138 meV/atom
* V: 245 Å³ per cell

Cell: 4.525 5.542 9.772 Å, 90.00 90.00 90.00°
Fractional positions:
1 K 0.000 0.000 0.000
2 K 0.000 0.500 0.500
3 Pt 0.500 0.000 0.500
4 Pt 0.500 0.252 0.258
5 Pt 0.500 0.252 0.742
6 Pt 0.500 0.748 0.258
7 Pt 0.500 0.748 0.742
8 Au 0.000 0.000 0.334
9 Au 0.000 0.000 0.666
10 Au 0.000 0.500 0.179
11 Au 0.000 0.500 0.821
12 Au 0.500 0.500 0.000

A relaxed structure of KPtAu2, computed with GGA-PBE.

Values from the calculation:
* energy above the lowest structure with this stoichiometry: 68 kJ/mol of formula units
* E: -3.32 eV/atom
* total magnetic moment: 0.00 μB per formula unit
* energy of formation: 108 meV/atom
* V: 79 Å³ per cell

Cell: 5.122 5.122 3.037 Å, 90.00 90.00 97.72°
Fractional positions:
1 K 0.000 0.000 0.000
2 Pt 0.500 0.500 0.000
3 Au 0.000 0.500 0.500
4 Au 0.500 0.000 0.500

A relaxed structure of KPt2Au, computed with GGA-PBE.

Values from the calculation:
* energy above the lowest structure with this stoichiometry: 80 kJ/mol of formula units
* E: -3.90 eV/atom
* total magnetic moment: 0.00 μB per formula unit
* energy of formation: 214 meV/atom
* V: 75 Å³ per cell

Cell: 10.460 10.460 10.460 Å, 15.87 15.87 15.87°
Fractional positions:
1 K 0.000 0.000 0.000
2 Pt 0.246 0.246 0.246
3 Pt 0.504 0.504 0.504
4 Au 0.761 0.761 0.761

A relaxed structure of KPt2Au, computed with GGA-PBE.

Values from the calculation:
* energy above the lowest structure with this stoichiometry: 70 kJ/mol of formula units
* E: -3.93 eV/atom
* total magnetic moment: 0.00 μB per formula unit
* energy of formation: 189 meV/atom
* V: 76 Å³ per cell

Cell: 2.799 5.129 5.262 Å, 90.00 90.00 90.00°
Fractional positions:
1 K 0.000 0.000 0.000
2 Pt 0.000 0.500 0.500
3 Pt 0.500 0.000 0.500
4 Au 0.500 0.500 0.000

A relaxed structure of KPtRhAu2, computed with GGA-PBE.

Values from the calculation:
* E: -3.74 eV/atom
* total magnetic moment: 0.00 μB per formula unit
* energy of formation: 471 meV/atom
* V: 132 Å³ per cell

Cell: 5.229 5.229 4.817 Å, 90.00 90.00 90.00°
Fractional positions:
1 K 0.000 0.000 0.000
2 Pt 0.500 0.500 0.500
3 Rh 0.500 0.500 0.000
4 Au 0.000 0.500 0.500
5 Au 0.500 0.000 0.500

A relaxed structure of K2Sn4Pt3Au, computed with GGA-PBE.

Values from the calculation:
* E: -4.40 eV/atom
* total magnetic moment: 0.00 μB per formula unit
* energy of formation: -444 meV/atom
* V: 248 Å³ per cell

Cell: 4.865 4.865 10.460 Å, 90.00 90.00 90.00°
Fractional positions:
1 K 0.000 0.500 0.244
2 K 0.500 0.000 0.756
3 Sn 0.000 0.000 0.500
4 Sn 0.000 0.500 0.876
5 Sn 0.500 0.000 0.124
6 Sn 0.500 0.500 0.500
7 Pt 0.000 0.000 0.000
8 Pt 0.000 0.500 0.620
9 Pt 0.500 0.000 0.380
10 Au 0.500 0.500 0.000

A relaxed structure of K2TaPtAu, computed with GGA-PBE.

Values from the calculation:
* E: -3.66 eV/atom
* total magnetic moment: 3.35 μB per formula unit
* energy of formation: 1018 meV/atom
* V: 213 Å³ per cell

Cell: 6.620 6.620 4.862 Å, 90.00 90.00 90.00°
Fractional positions:
1 K 0.000 0.500 0.000
2 K 0.500 0.000 0.000
3 Ta 0.000 0.000 0.000
4 Pt 0.000 0.000 0.500
5 Au 0.500 0.500 0.500

A relaxed structure of K2Tl6PtAu, computed with GGA-PBE.

Values from the calculation:
* E: -2.62 eV/atom
* total magnetic moment: 0.00 μB per formula unit
* energy of formation: -52 meV/atom
* V: 654 Å³ per cell

Cell: 12.801 12.801 12.801 Å, 36.18 36.18 36.18°
Fractional positions:
1 K 0.127 0.127 0.127
2 K 0.294 0.294 0.294
3 K 0.706 0.706 0.706
4 K 0.873 0.873 0.873
5 Tl 0.093 0.645 0.645
6 Tl 0.204 0.204 0.733
7 Tl 0.204 0.733 0.204
8 Tl 0.267 0.796 0.796
9 Tl 0.355 0.355 0.907
10 Tl 0.355 0.907 0.355
11 Tl 0.645 0.093 0.645
12 Tl 0.645 0.645 0.093
13 Tl 0.733 0.204 0.204
14 Tl 0.796 0.267 0.796
15 Tl 0.796 0.796 0.267
16 Tl 0.907 0.355 0.355
17 Pt 0.000 0.000 0.000
18 Pt 0.500 0.500 0.500
19 Au 0.419 0.419 0.419
20 Au 0.581 0.581 0.581

A relaxed structure of KTlPtAu2, computed with GGA-PBE.

Values from the calculation:
* E: -3.31 eV/atom
* total magnetic moment: 0.00 μB per formula unit
* energy of formation: -94 meV/atom
* V: 147 Å³ per cell

Cell: 5.329 5.329 5.190 Å, 90.00 90.00 90.00°
Fractional positions:
1 K 0.000 0.000 0.000
2 Tl 0.500 0.500 0.000
3 Pt 0.500 0.500 0.500
4 Au 0.000 0.500 0.500
5 Au 0.500 0.000 0.500

A relaxed structure of K2Tl4PtAu3, computed with GGA-PBE.

Values from the calculation:
* E: -2.90 eV/atom
* total magnetic moment: 0.00 μB per formula unit
* energy of formation: -146 meV/atom
* V: 284 Å³ per cell

Cell: 4.882 4.882 11.918 Å, 90.00 90.00 90.00°
Fractional positions:
1 K 0.000 0.500 0.230
2 K 0.500 0.000 0.770
3 Tl 0.000 0.000 0.500
4 Tl 0.000 0.500 0.880
5 Tl 0.500 0.000 0.120
6 Tl 0.500 0.500 0.500
7 Pt 0.500 0.500 0.000
8 Au 0.000 0.000 0.000
9 Au 0.000 0.500 0.642
10 Au 0.500 0.000 0.358

A relaxed structure of KPu4Au5, computed with GGA-PBE.

Values from the calculation:
* E: -7.85 eV/atom
* total magnetic moment: 0.29 μB per formula unit
* energy of formation: -364 meV/atom
* V: 253 Å³ per cell

Cell: 3.576 3.576 19.806 Å, 90.00 90.00 90.00°
Fractional positions:
1 K 0.000 0.000 0.000
2 Pu 0.000 0.000 0.213
3 Pu 0.000 0.000 0.405
4 Pu 0.000 0.000 0.595
5 Pu 0.000 0.000 0.787
6 Au 0.500 0.500 0.123
7 Au 0.500 0.500 0.309
8 Au 0.500 0.500 0.500
9 Au 0.500 0.500 0.691
10 Au 0.500 0.500 0.877

A relaxed structure of KPu2Au3, computed with GGA-PBE.

Values from the calculation:
* E: -6.95 eV/atom
* total magnetic moment: 11.83 μB per formula unit
* energy of formation: -351 meV/atom
* V: 160 Å³ per cell

Cell: 3.705 3.705 11.669 Å, 90.00 90.00 90.00°
Fractional positions:
1 K 0.000 0.000 0.000
2 Pu 0.000 0.000 0.348
3 Pu 0.000 0.000 0.652
4 Au 0.500 0.500 0.208
5 Au 0.500 0.500 0.500
6 Au 0.500 0.500 0.792

A relaxed structure of KPuAu, computed with GGA-PBE.

Values from the calculation:
* E: -6.19 eV/atom
* total magnetic moment: 0.00 μB per formula unit
* energy of formation: 42 meV/atom
* V: 166 Å³ per cell

Cell: 3.470 3.470 14.251 Å, 94.82 94.82 76.75°
Fractional positions:
1 K 0.237 0.237 0.353
2 K 0.763 0.763 0.647
3 Pu 0.197 0.197 0.038
4 Pu 0.803 0.803 0.962
5 Au 0.307 0.307 0.820
6 Au 0.693 0.693 0.180

A relaxed structure of K3Pu2AuS6, computed with GGA-PBE.

Values from the calculation:
* E: -6.19 eV/atom
* total magnetic moment: 8.00 μB per formula unit
* raw formation energy: -1.19 eV per atom
* V: 314 Å³ per cell

Cell: 7.232 7.232 7.547 Å, 97.10 97.10 124.38°
Fractional positions:
1 K 0.000 0.000 0.000
2 K 0.349 0.651 0.000
3 K 0.651 0.349 0.000
4 Pu 0.166 0.834 0.500
5 Pu 0.834 0.166 0.500
6 Au 0.500 0.500 0.500
7 S 0.053 0.437 0.285
8 S 0.243 0.243 0.677
9 S 0.437 0.053 0.285
10 S 0.563 0.947 0.715
11 S 0.757 0.757 0.323
12 S 0.947 0.563 0.715

A relaxed structure of K2PuAu2S4, computed with GGA-PBE.

Values from the calculation:
* E: -5.31 eV/atom
* total magnetic moment: 4.10 μB per formula unit
* raw formation energy: -0.91 eV per atom
* V: 221 Å³ per cell

Cell: 7.760 7.760 7.742 Å, 109.60 109.60 30.35°
Fractional positions:
1 K 0.131 0.131 0.073
2 K 0.869 0.869 0.927
3 Pu 0.000 0.000 0.500
4 Au 0.321 0.321 0.484
5 Au 0.679 0.679 0.516
6 S 0.192 0.192 0.710
7 S 0.485 0.485 0.731
8 S 0.515 0.515 0.269
9 S 0.808 0.808 0.290

A relaxed structure of K3Pu3AuS8, computed with GGA-PBE.

Values from the calculation:
* E: -6.74 eV/atom
* total magnetic moment: 12.45 μB per formula unit
* raw formation energy: -1.24 eV per atom
* V: 409 Å³ per cell

Cell: 7.903 7.903 8.550 Å, 115.68 115.68 62.86°
Fractional positions:
1 K 0.000 0.000 0.000
2 K 0.000 0.500 0.000
3 K 0.500 0.000 0.000
4 Pu 0.000 0.500 0.500
5 Pu 0.500 0.000 0.500
6 Pu 0.500 0.500 0.500
7 Au 0.000 0.000 0.500
8 S 0.210 0.210 0.677
9 S 0.256 0.695 0.708
10 S 0.265 0.265 0.299
11 S 0.305 0.744 0.292
12 S 0.695 0.256 0.708
13 S 0.735 0.735 0.701
14 S 0.744 0.305 0.292
15 S 0.790 0.790 0.323

A relaxed structure of K2PuSb4Au3, computed with GGA-PBE.

Values from the calculation:
* E: -4.62 eV/atom
* total magnetic moment: 4.99 μB per formula unit
* raw formation energy: -0.33 eV per atom
* V: 287 Å³ per cell

Cell: 4.820 4.820 12.376 Å, 90.00 90.00 90.00°
Fractional positions:
1 K 0.000 0.500 0.240
2 K 0.500 0.000 0.760
3 Pu 0.000 0.000 0.500
4 Sb 0.000 0.000 0.000
5 Sb 0.000 0.500 0.649
6 Sb 0.500 0.000 0.351
7 Sb 0.500 0.500 0.000
8 Au 0.000 0.500 0.873
9 Au 0.500 0.000 0.127
10 Au 0.500 0.500 0.500

A relaxed structure of KPu2Sb2Au2, computed with GGA-PBE.

Values from the calculation:
* E: -6.84 eV/atom
* total magnetic moment: 10.95 μB per formula unit
* raw formation energy: -0.47 eV per atom
* V: 204 Å³ per cell

Cell: 10.193 10.193 10.193 Å, 27.87 27.87 27.87°
Fractional positions:
1 K 0.000 0.000 0.000
2 Pu 0.144 0.144 0.144
3 Pu 0.856 0.856 0.856
4 Sb 0.252 0.252 0.252
5 Sb 0.748 0.748 0.748
6 Au 0.447 0.447 0.447
7 Au 0.553 0.553 0.553

A relaxed structure of KPu2AuSe4, computed with GGA-PBE.

Values from the calculation:
* E: -7.07 eV/atom
* total magnetic moment: 10.00 μB per formula unit
* raw formation energy: -1.20 eV per atom
* V: 440 Å³ per cell

Cell: 7.387 7.387 14.655 Å, 90.00 90.00 146.64°
Fractional positions:
1 K 0.122 0.878 0.750
2 K 0.878 0.122 0.250
3 Pu 0.369 0.631 0.566
4 Pu 0.369 0.631 0.934
5 Pu 0.631 0.369 0.066
6 Pu 0.631 0.369 0.434
7 Au 0.156 0.844 0.250
8 Au 0.844 0.156 0.750
9 Se 0.000 0.000 0.000
10 Se 0.000 0.000 0.500
11 Se 0.266 0.734 0.104
12 Se 0.266 0.734 0.396
13 Se 0.450 0.550 0.750
14 Se 0.550 0.450 0.250
15 Se 0.734 0.266 0.604
16 Se 0.734 0.266 0.896

A relaxed structure of KPuAuSe3, computed with GGA-PBE.

Values from the calculation:
* E: -5.90 eV/atom
* total magnetic moment: 4.00 μB per formula unit
* raw formation energy: -1.04 eV per atom
* V: 335 Å³ per cell

Cell: 7.702 7.702 10.724 Å, 90.00 90.00 148.23°
Fractional positions:
1 K 0.250 0.750 0.750
2 K 0.750 0.250 0.250
3 Pu 0.000 0.000 0.000
4 Pu 0.000 0.000 0.500
5 Au 0.454 0.546 0.250
6 Au 0.546 0.454 0.750
7 Se 0.068 0.932 0.250
8 Se 0.372 0.628 0.040
9 Se 0.372 0.628 0.460
10 Se 0.628 0.372 0.540
11 Se 0.628 0.372 0.960
12 Se 0.932 0.068 0.750